No. 1
First-principles (PBE-GGA) data for a relaxed Ag5Ir2F12 crystal, as listed in Alexandria.

Cell lengths 6.396, 7.006, 8.163 Å; angles 78.09, 90.00, 117.16 degrees
Fractional coordinates of all 19 atoms:
Ag (0.704, 0.407, 0.622)
Ag (0.716, 0.433, 0.261)
Ag (0.000, 0.000, 0.500)
Ag (0.284, 0.567, 0.739)
Ag (0.296, 0.593, 0.378)
Ir (0.250, 0.000, 0.000)
Ir (0.750, 0.000, 0.000)
F (0.027, 0.054, 0.142)
F (0.902, 0.319, 0.875)
F (0.417, 0.319, 0.875)
F (0.894, 0.266, 0.446)
F (0.372, 0.266, 0.446)
F (0.474, 0.947, 0.857)
F (0.526, 0.053, 0.143)
F (0.106, 0.734, 0.554)
F (0.628, 0.734, 0.554)
F (0.098, 0.681, 0.125)
F (0.583, 0.681, 0.125)
F (0.973, 0.946, 0.858)

Energy relative to the elements, uncorrected (eV per atom): -1.13
Total magnetization (μB per formula unit): 0.0
Calculated volume (Å³/atom): 16.66



No. 2
First-principles (PBE-GGA) data for a relaxed Ag3IrF crystal, as listed in Alexandria.

Cell lengths 4.470, 4.470, 4.470 Å; angles 90.00, 90.00, 90.00 degrees
Fractional coordinates of all 5 atoms:
Ir (0.500, 0.500, 0.500)
Ag (0.000, 0.500, 0.000)
Ag (0.000, 0.000, 0.500)
Ag (0.500, 0.000, 0.000)
F (0.000, 0.000, 0.000)

Energy relative to the elements, uncorrected (eV per atom): 0.56
Offset from the most stable computed form (meV/atom): 0
Total magnetization (μB per formula unit): 1.1
Calculated volume (Å³/atom): 17.86



No. 3
First-principles (PBE-GGA) data for a relaxed Ag7IrF12 crystal, as listed in Alexandria.

Cell lengths 6.626, 7.892, 7.892 Å; angles 67.51, 73.75, 106.25 degrees
Fractional coordinates of all 20 atoms:
Ag (0.110, 0.433, 0.152)
Ag (0.738, 0.848, 0.584)
Ag (0.323, 0.584, 0.567)
Ag (0.500, 0.000, 0.000)
Ag (0.677, 0.416, 0.433)
Ag (0.262, 0.152, 0.416)
Ag (0.890, 0.567, 0.848)
Ir (0.000, 0.000, 0.000)
F (0.676, 0.348, 0.176)
F (0.148, 0.824, 0.524)
F (0.203, 0.145, 0.089)
F (0.708, 0.911, 0.234)
F (0.672, 0.524, 0.652)
F (0.942, 0.234, 0.855)
F (0.058, 0.766, 0.145)
F (0.328, 0.476, 0.348)
F (0.292, 0.089, 0.766)
F (0.797, 0.855, 0.911)
F (0.852, 0.176, 0.476)
F (0.324, 0.652, 0.824)

Energy relative to the elements, uncorrected (eV per atom): -1.10
Total magnetization (μB per formula unit): 1.5
Calculated volume (Å³/atom): 16.47



No. 4
First-principles (PBE-GGA) data for a relaxed KAgIrF6 crystal, as listed in Alexandria.

Cell lengths 5.230, 6.079, 6.079 Å; angles 120.00, 90.00, 90.00 degrees
Fractional coordinates of all 9 atoms:
K (0.000, 0.333, 0.667)
Ag (0.500, 0.667, 0.333)
Ir (0.500, 0.000, 0.000)
F (0.706, 0.730, 0.726)
F (0.706, 0.274, 0.004)
F (0.706, 0.996, 0.270)
F (0.294, 0.274, 0.270)
F (0.294, 0.730, 0.004)
F (0.294, 0.996, 0.726)

Energy relative to the elements, uncorrected (eV per atom): -1.75
Total magnetization (μB per formula unit): 1.0
Calculated volume (Å³/atom): 18.60